Computed, not measured: a relaxed structure of Li4Nb3Ni3Sb2O16 at the PBE+U level of DFT.

Geometry as CIF:
```
data_Li4Nb3Ni3Sb2O16
_chemical_formula_sum 'Li8 Nb6 Ni6 Sb4 O32'
_cell_length_a 10.740
_cell_length_b 6.056
_cell_length_c 10.140
_cell_angle_alpha 90.00
_cell_angle_beta 90.20
_cell_angle_gamma 90.00
_symmetry_space_group_name_H-M 'C 1 m 1'
_symmetry_Int_Tables_number 8
_symmetry_space_group_name_Hall 'C -2y'
loop_
_atom_site_label
_atom_site_type_symbol
_atom_site_fract_x
_atom_site_fract_y
_atom_site_fract_z
Li1 Li 0.000 0.000 0.000
Li2 Li 0.001 0.000 0.518
Li3 Li 0.172 0.500 0.427
Li4 Li 0.338 0.000 0.908
Nb1 Nb 0.322 0.500 0.736
Nb2 Nb 0.419 0.242 0.235
Ni1 Ni 0.082 0.256 0.721
Ni2 Ni 0.168 0.000 0.241
Sb1 Sb 0.151 0.500 0.992
Sb2 Sb 0.323 0.000 0.513
O1 O 0.000 0.000 0.339
O2 O 0.016 0.500 0.853
O3 O 0.066 0.233 0.123
O4 O 0.162 0.000 0.606
O5 O 0.176 0.500 0.617
O6 O 0.250 0.274 0.850
O7 O 0.266 0.222 0.367
O8 O 0.329 0.000 0.125
O9 O 0.340 0.500 0.139
O10 O 0.409 0.249 0.608
O11 O 0.478 0.000 0.372
O12 O 0.493 0.500 0.811
```

Total energy ... -6.620 eV per atom